Entry 1:
First-principles (PBE) data for crystalline TiNb4Re2 at its relaxed geometry, as listed in Alexandria via LeMat-Bulk.

Values from the calculation:
E_tot = -10.332 eV per atom
formation enthalpy at 0 K = 10 kJ/mol of atoms
space-group type = I4/mmm, No. 139
mass density = 10.29 g/cm3
crystal system = tetragonal

a = 5.497 Å, b = 5.497 Å, c = 5.497 Å
α = 109.04°, β = 109.04°, γ = 110.34°
Atoms (fractional coordinates):
Ti1 0.000 0.000 0.000
Nb1 0.000 0.000 0.500
Nb2 0.000 0.500 0.000
Nb3 0.500 0.000 0.000
Nb4 0.500 0.500 0.500
Re1 0.000 0.500 0.500
Re2 0.500 0.000 0.500



Entry 2:
First-principles (PBE) data for crystalline Pr6NdTm12 at its relaxed geometry, as listed in Alexandria via LeMat-Bulk.

Values from the calculation:
E_tot = -4.363 eV per atom
formation enthalpy at 0 K = 21 kJ/mol of atoms
space-group type = R-3m, No. 166
mass density = 7.85 g/cm3
crystal system = trigonal

a = 8.723 Å, b = 8.723 Å, c = 8.723 Å
α = 98.73°, β = 98.73°, γ = 98.73°
Atoms (fractional coordinates):
Pr1 0.154 0.600 0.600
Pr2 0.400 0.400 0.846
Pr3 0.400 0.846 0.400
Pr4 0.600 0.154 0.600
Pr5 0.600 0.600 0.154
Pr6 0.846 0.400 0.400
Nd1 0.500 0.500 0.500
Tm1 0.000 0.255 0.745
Tm2 0.000 0.745 0.255
Tm3 0.145 0.145 0.420
Tm4 0.145 0.420 0.145
Tm5 0.255 0.000 0.745
Tm6 0.255 0.745 0.000
Tm7 0.420 0.145 0.145
Tm8 0.580 0.855 0.855
Tm9 0.745 0.000 0.255
Tm10 0.745 0.255 0.000
Tm11 0.855 0.580 0.855
Tm12 0.855 0.855 0.580



Entry 3:
First-principles (PBE) data for crystalline SmTmMgSc at its relaxed geometry, as listed in Alexandria via LeMat-Bulk.

Values from the calculation:
E_tot = -4.251 eV per atom
formation enthalpy at 0 K = 3 kJ/mol of atoms
space-group type = F-43m, No. 216
relative energy among the computed polymorphs = 0 meV per atom
mass density = 5.83 g/cm3
crystal system = cubic

a = 5.389 Å, b = 5.389 Å, c = 5.389 Å
α = 60.00°, β = 60.00°, γ = 60.00°
Atoms (fractional coordinates):
Sm1 0.000 0.000 0.000
Tm1 0.500 0.500 0.500
Mg1 0.250 0.250 0.250
Sc1 0.750 0.750 0.750



Entry 4:
First-principles (PBE) data for crystalline KRe2Ni at its relaxed geometry, as listed in Alexandria via LeMat-Bulk.

Values from the calculation:
E_tot = -5.901 eV per atom
formation enthalpy at 0 K = 197 kJ/mol of atoms
space-group type = Fm-3m, No. 225
relative energy among the computed polymorphs = 1348 meV per atom
mass density = 12.53 g/cm3
crystal system = cubic

a = 4.450 Å, b = 4.450 Å, c = 4.450 Å
α = 60.00°, β = 60.00°, γ = 60.00°
Atoms (fractional coordinates):
K1 0.000 0.000 0.000
Re1 0.250 0.250 0.250
Re2 0.750 0.750 0.750
Ni1 0.500 0.500 0.500



Entry 5:
First-principles (PBE) data for crystalline PPt2I2 at its relaxed geometry, as listed in Alexandria via LeMat-Bulk.

Values from the calculation:
E_tot = -3.428 eV per atom
space-group type = I4/mmm, No. 139
formation energy from raw total energies = 3.45 eV/f.u.
relative energy among the computed polymorphs = 0 meV per atom
mass density = 9.79 g/cm3
crystal system = tetragonal

a = 8.298 Å, b = 8.298 Å, c = 8.298 Å
α = 153.39°, β = 153.39°, γ = 37.99°
Atoms (fractional coordinates):
P1 0.000 0.000 0.000
Pt1 0.250 0.750 0.500
Pt2 0.750 0.250 0.500
I1 0.386 0.386 0.000
I2 0.614 0.614 0.000



Entry 6:
First-principles (PBE) data for crystalline BeTlZnIrBr at its relaxed geometry, as listed in Alexandria via LeMat-Bulk.

Values from the calculation:
E_tot = -3.713 eV per atom
space-group type = P1, No. 1
formation energy from raw total energies = -0.67 eV/f.u.
relative energy among the computed polymorphs = 35 meV per atom
mass density = 9.15 g/cm3
crystal system = triclinic

a = 3.068 Å, b = 3.072 Å, c = 10.606 Å
α = 90.48°, β = 90.55°, γ = 90.00°
Atoms (fractional coordinates):
Be1 0.000 0.000 0.000
Tl1 0.489 0.493 0.771
Zn1 0.007 0.007 0.230
Ir1 0.502 0.502 0.075
Br1 0.015 0.010 0.458



Entry 7:
First-principles (PBE) data for crystalline TcPW2 at its relaxed geometry, as listed in Alexandria via LeMat-Bulk.

Values from the calculation:
E_tot = -10.289 eV per atom
formation enthalpy at 0 K = 13 kJ/mol of atoms
space-group type = Pmmm, No. 47
mass density = 13.97 g/cm3
crystal system = orthorhombic

a = 3.111 Å, b = 4.189 Å, c = 4.530 Å
α = 90.00°, β = 90.00°, γ = 90.00°
Atoms (fractional coordinates):
Tc1 0.000 0.000 0.000
P1 0.500 0.000 0.500
W1 0.000 0.500 0.500
W2 0.500 0.500 0.000



Entry 8:
First-principles (PBE) data for crystalline TaAgMo2 at its relaxed geometry, as listed in Alexandria via LeMat-Bulk.

Values from the calculation:
E_tot = -8.920 eV per atom
formation enthalpy at 0 K = 17 kJ/mol of atoms
space-group type = Cmm2, No. 35
relative energy among the computed polymorphs = 0 meV per atom
mass density = 11.84 g/cm3
crystal system = orthorhombic

a = 2.769 Å, b = 2.769 Å, c = 9.277 Å
α = 90.00°, β = 90.00°, γ = 108.63°
Atoms (fractional coordinates):
Ta1 0.000 0.000 0.000
Ag1 0.500 0.500 0.738
Mo1 0.000 0.000 0.478
Mo2 0.500 0.500 0.245



Entry 9:
First-principles (PBE) data for crystalline Pr16Nd7Er6 at its relaxed geometry, as listed in Alexandria via LeMat-Bulk.

Values from the calculation:
E_tot = -4.511 eV per atom
formation enthalpy at 0 K = 21 kJ/mol of atoms
space-group type = Fm-3m, No. 225
mass density = 6.66 g/cm3
crystal system = cubic

a = 11.459 Å, b = 11.459 Å, c = 11.459 Å
α = 60.00°, β = 60.00°, γ = 60.00°
Atoms (fractional coordinates):
Pr1 0.050 0.650 0.650
Pr2 0.125 0.125 0.125
Pr3 0.125 0.125 0.624
Pr4 0.125 0.624 0.125
Pr5 0.350 0.350 0.350
Pr6 0.350 0.350 0.950
Pr7 0.350 0.950 0.350
Pr8 0.376 0.875 0.875
Pr9 0.624 0.125 0.125
Pr10 0.650 0.050 0.650
Pr11 0.650 0.650 0.050
Pr12 0.650 0.650 0.650
Pr13 0.875 0.376 0.875
Pr14 0.875 0.875 0.376
Pr15 0.875 0.875 0.875
Pr16 0.950 0.350 0.350
Nd1 0.000 0.000 0.000
Nd2 0.000 0.000 0.500
Nd3 0.000 0.500 0.000
Nd4 0.000 0.500 0.500
Nd5 0.500 0.000 0.000
Nd6 0.500 0.000 0.500
Nd7 0.500 0.500 0.000
Er1 0.262 0.262 0.738
Er2 0.262 0.738 0.262
Er3 0.262 0.738 0.738
Er4 0.738 0.262 0.262
Er5 0.738 0.262 0.738
Er6 0.738 0.738 0.262



Entry 10:
First-principles (PBE) data for crystalline In12HgPb6 at its relaxed geometry, as listed in Alexandria via LeMat-Bulk.

Values from the calculation:
E_tot = -2.856 eV per atom
formation enthalpy at 0 K = 6 kJ/mol of atoms
space-group type = R-3, No. 148
mass density = 8.39 g/cm3
crystal system = trigonal

a = 8.244 Å, b = 8.244 Å, c = 8.244 Å
α = 92.74°, β = 92.74°, γ = 92.74°
Atoms (fractional coordinates):
In1 0.036 0.291 0.962
In2 0.038 0.964 0.709
In3 0.131 0.358 0.454
In4 0.291 0.962 0.036
In5 0.358 0.454 0.131
In6 0.454 0.131 0.358
In7 0.546 0.869 0.642
In8 0.642 0.546 0.869
In9 0.709 0.038 0.964
In10 0.869 0.642 0.546
In11 0.962 0.036 0.291
In12 0.964 0.709 0.038
Hg1 0.500 0.500 0.500
Pb1 0.218 0.759 0.381
Pb2 0.241 0.619 0.782
Pb3 0.381 0.218 0.759
Pb4 0.619 0.782 0.241
Pb5 0.759 0.381 0.218
Pb6 0.782 0.241 0.619



Entry 11:
First-principles (PBE) data for crystalline La6PmTm12 at its relaxed geometry, as listed in Alexandria via LeMat-Bulk.

Values from the calculation:
E_tot = -4.406 eV per atom
formation enthalpy at 0 K = 22 kJ/mol of atoms
space-group type = R-3m, No. 166
mass density = 7.75 g/cm3
crystal system = trigonal

a = 8.750 Å, b = 8.750 Å, c = 8.750 Å
α = 98.73°, β = 98.73°, γ = 98.73°
Atoms (fractional coordinates):
La1 0.152 0.598 0.598
La2 0.402 0.402 0.848
La3 0.402 0.848 0.402
La4 0.598 0.152 0.598
La5 0.598 0.598 0.152
La6 0.848 0.402 0.402
Pm1 0.500 0.500 0.500
Tm1 0.000 0.253 0.747
Tm2 0.000 0.747 0.253
Tm3 0.145 0.145 0.421
Tm4 0.145 0.421 0.145
Tm5 0.253 0.000 0.747
Tm6 0.253 0.747 0.000
Tm7 0.421 0.145 0.145
Tm8 0.579 0.855 0.855
Tm9 0.747 0.000 0.253
Tm10 0.747 0.253 0.000
Tm11 0.855 0.579 0.855
Tm12 0.855 0.855 0.579



Entry 12:
First-principles (PBE) data for crystalline Ba2LaInH at its relaxed geometry, as listed in Alexandria via LeMat-Bulk.

Values from the calculation:
E_tot = -3.179 eV per atom
space-group type = P4/mmm, No. 123
relative energy among the computed polymorphs = 0 meV per atom
mass density = 5.48 g/cm3
crystal system = tetragonal

a = 5.402 Å, b = 5.402 Å, c = 5.497 Å
α = 90.00°, β = 90.00°, γ = 90.00°
Atoms (fractional coordinates):
Ba1 0.000 0.500 0.000
Ba2 0.500 0.000 0.000
La1 0.000 0.000 0.500
In1 0.500 0.500 0.500
H1 0.000 0.000 0.000



Entry 13:
First-principles (PBE) data for crystalline Pr3HfPb5 at its relaxed geometry, as listed in Alexandria via LeMat-Bulk.

Values from the calculation:
E_tot = -5.182 eV per atom
formation enthalpy at 0 K = -41 kJ/mol of atoms
space-group type = P6_3/mcm, No. 193
mass density = 10.34 g/cm3
crystal system = hexagonal

a = 9.660 Å, b = 9.660 Å, c = 6.506 Å
α = 90.00°, β = 90.00°, γ = 120.00°
Atoms (fractional coordinates):
Pr1 0.000 0.385 0.250
Pr2 0.000 0.615 0.750
Pr3 0.385 0.000 0.250
Pr4 0.385 0.385 0.750
Pr5 0.615 0.000 0.750
Pr6 0.615 0.615 0.250
Hf1 0.000 0.000 0.000
Hf2 0.000 0.000 0.500
Pb1 0.000 0.268 0.750
Pb2 0.000 0.732 0.250
Pb3 0.268 0.000 0.750
Pb4 0.268 0.268 0.250
Pb5 0.333 0.667 0.000
Pb6 0.333 0.667 0.500
Pb7 0.667 0.333 0.000
Pb8 0.667 0.333 0.500
Pb9 0.732 0.000 0.250
Pb10 0.732 0.732 0.750



Entry 14:
First-principles (PBE) data for crystalline LaY2Rh at its relaxed geometry, as listed in Alexandria via LeMat-Bulk.

Values from the calculation:
E_tot = -6.632 eV per atom
formation enthalpy at 0 K = -32 kJ/mol of atoms
space-group type = R-3m, No. 166
relative energy among the computed polymorphs = 167 meV per atom
mass density = 5.69 g/cm3
crystal system = trigonal

a = 9.695 Å, b = 9.695 Å, c = 9.695 Å
α = 23.03°, β = 23.03°, γ = 23.03°
Atoms (fractional coordinates):
La1 0.000 0.000 0.000
Y1 0.224 0.224 0.224
Y2 0.776 0.776 0.776
Rh1 0.500 0.500 0.500



Entry 15:
First-principles (PBE) data for crystalline SrTcW2 at its relaxed geometry, as listed in Alexandria via LeMat-Bulk.

Values from the calculation:
E_tot = -8.703 eV per atom
formation enthalpy at 0 K = 76 kJ/mol of atoms
space-group type = P2/m, No. 10
relative energy among the computed polymorphs = 106 meV per atom
mass density = 10.60 g/cm3
crystal system = monoclinic

a = 3.011 Å, b = 3.868 Å, c = 7.472 Å
α = 90.00°, β = 95.08°, γ = 90.00°
Atoms (fractional coordinates):
Sr1 0.000 0.000 0.000
Tc1 0.000 0.000 0.500
W1 0.443 0.500 0.661
W2 0.557 0.500 0.339



Entry 16:
First-principles (PBE) data for crystalline PmMg9Sc2 at its relaxed geometry, as listed in Alexandria via LeMat-Bulk.

Values from the calculation:
E_tot = -2.647 eV per atom
formation enthalpy at 0 K = 0 kJ/mol of atoms
space-group type = R-3m, No. 166
mass density = 2.57 g/cm3
crystal system = trigonal

a = 10.204 Å, b = 10.204 Å, c = 10.204 Å
α = 33.83°, β = 33.83°, γ = 33.83°
Atoms (fractional coordinates):
Pm1 0.000 0.000 0.000
Mg1 0.080 0.590 0.590
Mg2 0.334 0.334 0.334
Mg3 0.410 0.410 0.920
Mg4 0.410 0.920 0.410
Mg5 0.500 0.500 0.500
Mg6 0.590 0.080 0.590
Mg7 0.590 0.590 0.080
Mg8 0.666 0.666 0.666
Mg9 0.920 0.410 0.410
Sc1 0.146 0.146 0.146
Sc2 0.854 0.854 0.854



Entry 17:
First-principles (PBE) data for crystalline PmNiHgPb at its relaxed geometry, as listed in Alexandria via LeMat-Bulk.

Values from the calculation:
E_tot = -3.794 eV per atom
formation enthalpy at 0 K = -15 kJ/mol of atoms
space-group type = F-43m, No. 216
mass density = 11.03 g/cm3
crystal system = cubic

a = 5.068 Å, b = 5.068 Å, c = 5.068 Å
α = 60.00°, β = 60.00°, γ = 60.00°
Atoms (fractional coordinates):
Pm1 0.000 0.000 0.000
Ni1 0.750 0.750 0.750
Hg1 0.250 0.250 0.250
Pb1 0.500 0.500 0.500



Entry 18:
First-principles (PBE) data for crystalline Pm6Te2PbSe3 at its relaxed geometry, as listed in Alexandria via LeMat-Bulk.

Values from the calculation:
E_tot = -5.572 eV per atom
space-group type = C2/m, No. 12
formation energy from raw total energies = -17.91 eV/f.u.
mass density = 7.46 g/cm3
crystal system = monoclinic

a = 9.749 Å, b = 9.749 Å, c = 8.754 Å
α = 103.43°, β = 103.43°, γ = 25.62°
Atoms (fractional coordinates):
Pm1 0.005 0.005 0.242
Pm2 0.330 0.330 0.434
Pm3 0.341 0.341 0.900
Pm4 0.659 0.659 0.100
Pm5 0.670 0.670 0.566
Pm6 0.995 0.995 0.758
Te1 0.169 0.169 0.837
Te2 0.831 0.831 0.163
Pb1 0.500 0.500 0.500
Se1 0.168 0.168 0.333
Se2 0.500 0.500 0.000
Se3 0.832 0.832 0.667



Entry 19:
First-principles (PBE) data for crystalline AgAsAu at its relaxed geometry, as listed in Alexandria via LeMat-Bulk.

Values from the calculation:
E_tot = -3.432 eV per atom
formation enthalpy at 0 K = 15 kJ/mol of atoms
space-group type = Imm2, No. 44
relative energy among the computed polymorphs = 38 meV per atom
mass density = 11.41 g/cm3
crystal system = orthorhombic

a = 5.246 Å, b = 5.246 Å, c = 5.246 Å
α = 146.26°, β = 135.99°, γ = 56.57°
Atoms (fractional coordinates):
Ag1 0.000 0.000 0.000
As1 0.670 0.670 0.000
Au1 0.330 0.330 0.000



Entry 20:
First-principles (PBE) data for crystalline LaCe2Ga2Ge2 at its relaxed geometry, as listed in Alexandria via LeMat-Bulk.

Values from the calculation:
E_tot = -5.027 eV per atom
formation enthalpy at 0 K = -43 kJ/mol of atoms
space-group type = R-3m, No. 166
mass density = 7.24 g/cm3
crystal system = trigonal

a = 9.851 Å, b = 9.851 Å, c = 9.851 Å
α = 25.97°, β = 25.97°, γ = 25.97°
Atoms (fractional coordinates):
La1 0.000 0.000 0.000
Ce1 0.139 0.139 0.139
Ce2 0.861 0.861 0.861
Ga1 0.413 0.413 0.413
Ga2 0.587 0.587 0.587
Ge1 0.264 0.264 0.264
Ge2 0.736 0.736 0.736



Entry 21:
First-principles (PBE) data for crystalline Tm2BiPd6 at its relaxed geometry, as listed in Alexandria via LeMat-Bulk.

Values from the calculation:
E_tot = -5.445 eV per atom
formation enthalpy at 0 K = -54 kJ/mol of atoms
space-group type = Cmmm, No. 65
mass density = 11.03 g/cm3
crystal system = orthorhombic

a = 8.022 Å, b = 8.022 Å, c = 3.361 Å
α = 90.00°, β = 90.00°, γ = 124.42°
Atoms (fractional coordinates):
Tm1 0.194 0.806 0.000
Tm2 0.806 0.194 0.000
Bi1 0.500 0.500 0.500
Pd1 0.141 0.461 0.500
Pd2 0.184 0.184 0.000
Pd3 0.461 0.141 0.500
Pd4 0.539 0.859 0.500
Pd5 0.816 0.816 0.000
Pd6 0.859 0.539 0.500



Entry 22:
First-principles (PBE) data for crystalline ZrPdPt at its relaxed geometry, as listed in Alexandria via LeMat-Bulk.

Values from the calculation:
E_tot = -7.395 eV per atom
formation enthalpy at 0 K = -77 kJ/mol of atoms
space-group type = Immm, No. 71
relative energy among the computed polymorphs = 122 meV per atom
mass density = 12.44 g/cm3
crystal system = orthorhombic

a = 5.424 Å, b = 5.424 Å, c = 5.424 Å
α = 128.29°, β = 119.12°, γ = 83.90°
Atoms (fractional coordinates):
Zr1 0.192 0.192 0.000
Zr2 0.808 0.808 0.000
Pd1 0.341 0.841 0.500
Pd2 0.659 0.159 0.500
Pt1 0.245 0.500 0.745
Pt2 0.755 0.500 0.255



Entry 23:
First-principles (PBE) data for crystalline Ce3Zn2Rh3 at its relaxed geometry, as listed in Alexandria via LeMat-Bulk.

Values from the calculation:
E_tot = -5.903 eV per atom
formation enthalpy at 0 K = -58 kJ/mol of atoms
space-group type = P6_3/mcm, No. 193
mass density = 8.98 g/cm3
crystal system = hexagonal

a = 8.095 Å, b = 8.095 Å, c = 5.604 Å
α = 90.00°, β = 90.00°, γ = 120.00°
Atoms (fractional coordinates):
Ce1 0.000 0.269 0.250
Ce2 0.000 0.731 0.750
Ce3 0.269 0.000 0.250
Ce4 0.269 0.269 0.750
Ce5 0.731 0.000 0.750
Ce6 0.731 0.731 0.250
Zn1 0.333 0.667 0.000
Zn2 0.333 0.667 0.500
Zn3 0.667 0.333 0.000
Zn4 0.667 0.333 0.500
Rh1 0.000 0.390 0.750
Rh2 0.000 0.610 0.250
Rh3 0.390 0.000 0.750
Rh4 0.390 0.390 0.250
Rh5 0.610 0.000 0.250
Rh6 0.610 0.610 0.750